! NbAu3F PBE-GGA optimized geometry; values from VASP
&SYSTEM
  ibrav = 0, nat = 5, ntyp = 3
/
ATOMIC_SPECIES
Nb 92.91 Nb.upf
Au 196.97 Au.upf
F 19.00 F.upf
CELL_PARAMETERS angstrom
5.151 0.000 0.000
0.000 5.151 0.000
0.000 0.000 5.151
ATOMIC_POSITIONS crystal
Nb 0.000 0.000 0.000
Au 0.000 0.000 0.500
Au 0.000 0.500 0.000
Au 0.500 0.000 0.000
F 0.500 0.500 0.500
! Energy (Ry/atom): -0.2555
! Symmetry: Pm-3m (221)
! Crystal system: cubic



! Nb2AuF PBE-GGA optimized geometry; values from VASP
&SYSTEM
  ibrav = 0, nat = 8, ntyp = 3
/
ATOMIC_SPECIES
Nb 92.91 Nb.upf
Au 196.97 Au.upf
F 19.00 F.upf
CELL_PARAMETERS angstrom
-2.290 2.290 7.287
2.290 -2.290 7.287
2.290 2.290 -7.287
ATOMIC_POSITIONS crystal
Nb 0.024 0.625 0.899
Nb 0.375 0.274 0.399
Nb 0.726 0.125 0.101
Nb 0.875 0.976 0.601
Au 0.250 0.750 0.500
Au 0.500 0.500 0.000
F 0.000 0.000 0.000
F 0.750 0.250 0.500
! Energy (Ry/atom): -0.4639
! Symmetry: I-42d (122)
! Crystal system: tetragonal



! NbAu3F PBE-GGA optimized geometry; values from VASP
&SYSTEM
  ibrav = 0, nat = 5, ntyp = 3
/
ATOMIC_SPECIES
Nb 92.91 Nb.upf
Au 196.97 Au.upf
F 19.00 F.upf
CELL_PARAMETERS angstrom
4.573 0.000 0.000
0.000 4.573 0.000
0.000 0.000 4.573
ATOMIC_POSITIONS crystal
Nb 0.000 0.000 0.000
Au 0.000 0.500 0.500
Au 0.500 0.000 0.500
Au 0.500 0.500 0.000
F 0.500 0.500 0.500
! Energy (Ry/atom): -0.2711
! Symmetry: Pm-3m (221)
! Crystal system: cubic



! NbAuOF2 PBE-GGA optimized geometry; values from VASP
&SYSTEM
  ibrav = 0, nat = 5, ntyp = 4
/
ATOMIC_SPECIES
Nb 92.91 Nb.upf
Au 196.97 Au.upf
O 16.00 O.upf
F 19.00 F.upf
CELL_PARAMETERS angstrom
4.287 0.000 0.000
0.000 4.287 0.000
0.000 0.000 3.947
ATOMIC_POSITIONS crystal
Nb 0.000 0.000 0.000
Au 0.500 0.500 0.500
O 0.000 0.000 0.500
F 0.000 0.500 0.000
F 0.500 0.000 0.000
! Energy (Ry/atom): -0.4335
! Symmetry: P4/mmm (123)
! Crystal system: tetragonal



! NbAuO2F PBE-GGA optimized geometry; values from VASP
&SYSTEM
  ibrav = 0, nat = 5, ntyp = 4
/
ATOMIC_SPECIES
Nb 92.91 Nb.upf
Au 196.97 Au.upf
O 16.00 O.upf
F 19.00 F.upf
CELL_PARAMETERS angstrom
4.199 0.000 0.000
0.000 4.199 0.000
0.000 0.000 4.198
ATOMIC_POSITIONS crystal
Nb 0.000 0.000 0.000
Au 0.500 0.500 0.500
O 0.000 0.500 0.500
O 0.500 0.000 0.500
F 0.500 0.500 0.000
! Energy (Ry/atom): -0.3538
! Symmetry: P4/mmm (123)
! Crystal system: tetragonal



! NbAuOF2 PBE-GGA optimized geometry; values from VASP
&SYSTEM
  ibrav = 0, nat = 5, ntyp = 4
/
ATOMIC_SPECIES
Nb 92.91 Nb.upf
Au 196.97 Au.upf
O 16.00 O.upf
F 19.00 F.upf
CELL_PARAMETERS angstrom
4.445 0.000 0.000
0.000 4.445 0.000
0.000 0.000 4.105
ATOMIC_POSITIONS crystal
Nb 0.000 0.000 0.000
Au 0.500 0.500 0.500
O 0.500 0.500 0.000
F 0.000 0.500 0.500
F 0.500 0.000 0.500
! Energy (Ry/atom): -0.3216
! Symmetry: P4/mmm (123)
! Crystal system: tetragonal



! NbAuO2F PBE-GGA optimized geometry; values from VASP
&SYSTEM
  ibrav = 0, nat = 5, ntyp = 4
/
ATOMIC_SPECIES
Nb 92.91 Nb.upf
Au 196.97 Au.upf
O 16.00 O.upf
F 19.00 F.upf
CELL_PARAMETERS angstrom
4.009 0.000 0.000
0.000 4.009 0.000
0.000 0.000 4.271
ATOMIC_POSITIONS crystal
Nb 0.000 0.000 0.000
Au 0.500 0.500 0.500
O 0.000 0.500 0.000
O 0.500 0.000 0.000
F 0.000 0.000 0.500
! Energy (Ry/atom): -0.4791
! Symmetry: P4/mmm (123)
! Crystal system: tetragonal



! Nb2PAuF PBE-GGA optimized geometry; values from VASP
&SYSTEM
  ibrav = 0, nat = 5, ntyp = 4
/
ATOMIC_SPECIES
Nb 92.91 Nb.upf
P 30.97 P.upf
Au 196.97 Au.upf
F 19.00 F.upf
CELL_PARAMETERS angstrom
4.168 0.000 0.000
0.000 4.168 0.000
0.000 0.000 4.926
ATOMIC_POSITIONS crystal
Nb 0.000 0.500 0.000
Nb 0.500 0.000 0.000
P 0.000 0.000 0.500
Au 0.500 0.500 0.500
F 0.500 0.500 0.000
! Energy (Ry/atom): -0.4332
! Symmetry: P4/mmm (123)
! Crystal system: tetragonal



! NbPdAuF2 PBE-GGA optimized geometry; values from VASP
&SYSTEM
  ibrav = 0, nat = 5, ntyp = 4
/
ATOMIC_SPECIES
Nb 92.91 Nb.upf
Pd 106.42 Pd.upf
Au 196.97 Au.upf
F 19.00 F.upf
CELL_PARAMETERS angstrom
4.104 0.000 0.000
0.000 4.104 0.000
0.000 0.000 5.848
ATOMIC_POSITIONS crystal
Nb 0.000 0.000 0.000
Pd 0.500 0.500 0.000
Au 0.000 0.000 0.500
F 0.000 0.500 0.500
F 0.500 0.000 0.500
! Energy (Ry/atom): -0.3099
! Symmetry: P4/mmm (123)
! Crystal system: tetragonal



! Rb2NbAuF6 PBE-GGA optimized geometry; values from VASP
&SYSTEM
  ibrav = 0, nat = 10, ntyp = 4
/
ATOMIC_SPECIES
Rb 85.47 Rb.upf
Nb 92.91 Nb.upf
Au 196.97 Au.upf
F 19.00 F.upf
CELL_PARAMETERS angstrom
0.000 5.087 5.087
5.087 0.000 5.087
5.087 5.087 0.000
ATOMIC_POSITIONS crystal
Rb 0.250 0.250 0.250
Rb 0.750 0.750 0.750
Nb 0.000 0.000 0.000
Au 0.500 0.500 0.500
F 0.191 0.191 0.809
F 0.191 0.809 0.191
F 0.191 0.809 0.809
F 0.809 0.191 0.191
F 0.809 0.191 0.809
F 0.809 0.809 0.191
! Energy (Ry/atom): -0.3685
! Symmetry: Fm-3m (225)
! Crystal system: cubic



! NbReAu2F PBE-GGA optimized geometry; values from VASP
&SYSTEM
  ibrav = 0, nat = 5, ntyp = 4
/
ATOMIC_SPECIES
Nb 92.91 Nb.upf
Re 186.21 Re.upf
Au 196.97 Au.upf
F 19.00 F.upf
CELL_PARAMETERS angstrom
4.619 0.000 0.000
0.000 4.619 0.000
0.000 0.000 3.961
ATOMIC_POSITIONS crystal
Nb 0.000 0.000 0.000
Re 0.500 0.500 0.000
Au 0.000 0.500 0.500
Au 0.500 0.000 0.500
F 0.000 0.000 0.500
! Energy (Ry/atom): -0.4101
! Symmetry: P4/mmm (123)
! Crystal system: tetragonal



! TaNbAu2F PBE-GGA optimized geometry; values from VASP
&SYSTEM
  ibrav = 0, nat = 5, ntyp = 4
/
ATOMIC_SPECIES
Ta 180.95 Ta.upf
Nb 92.91 Nb.upf
Au 196.97 Au.upf
F 19.00 F.upf
CELL_PARAMETERS angstrom
5.178 0.000 0.000
0.000 5.178 0.000
0.000 0.000 3.879
ATOMIC_POSITIONS crystal
Ta 0.000 0.000 0.000
Nb 0.500 0.500 0.500
Au 0.000 0.500 0.000
Au 0.500 0.000 0.000
F 0.000 0.000 0.500
! Energy (Ry/atom): -0.4331
! Symmetry: P4/mmm (123)
! Crystal system: tetragonal